Run 1
Computed, not measured: a relaxed structure of LaHF at the PBE level of DFT.

Structure (CIF):
```
data_LaHF
_chemical_formula_sum 'La2 H2 F2'
_cell_length_a 3.445
_cell_length_b 3.445
_cell_length_c 7.337
_cell_angle_alpha 90.00
_cell_angle_beta 90.00
_cell_angle_gamma 90.00
_symmetry_space_group_name_H-M 'I 4 m m'
_symmetry_Int_Tables_number 107
_symmetry_space_group_name_Hall 'I 4 -2'
loop_
_atom_site_label
_atom_site_fract_x
_atom_site_fract_y
_atom_site_fract_z
La1 0.000 0.000 0.000
H1 0.000 0.000 0.651
F1 0.000 0.000 0.332
```

Results
- Mass density: 6.062 Mg/m³
- Crystal system: tetragonal



Run 2
Computed, not measured: a relaxed structure of LaHF at the PBE level of DFT.

Structure (CIF):
```
data_LaHF
_chemical_formula_sum 'La1 H1 F1'
_cell_length_a 4.1311
_cell_length_b 4.1311
_cell_length_c 3.8361
_cell_angle_alpha 90.00
_cell_angle_beta 90.00
_cell_angle_gamma 120.00
_symmetry_space_group_name_H-M 'P 3 m 1'
_symmetry_Int_Tables_number 156
_symmetry_space_group_name_Hall 'P 3 -2"'
loop_
_atom_site_label
_atom_site_fract_x
_atom_site_fract_y
_atom_site_fract_z
La1 0.0000 0.0000 0.0000
H1 0.6667 0.3333 0.1703
F1 0.3333 0.6667 0.8708
```

Results
- Mass density: 4.654 Mg/m³
- Crystal system: trigonal



Run 3
Computed, not measured: a relaxed structure of LaHF at the PBE level of DFT.

Structure (CIF):
```
data_LaHF
_chemical_formula_sum 'La2 H2 F2'
_cell_length_a 3.964
_cell_length_b 3.964
_cell_length_c 6.051
_cell_angle_alpha 90.00
_cell_angle_beta 90.00
_cell_angle_gamma 90.00
_symmetry_space_group_name_H-M 'P 4/n m m'
_symmetry_Int_Tables_number 129
loop_
_symmetry_equiv_pos_as_xyz
'x,y,z'
'-x,-y,-z'
'-y+1/2,x,z'
'y+1/2,-x,-z'
'-x+1/2,-y+1/2,z'
'x+1/2,y+1/2,-z'
'y,-x+1/2,z'
'-y,x+1/2,-z'
'x+1/2,-y,-z'
'-x+1/2,y,z'
'-y,-x,-z'
'y,x,z'
'-x,y+1/2,-z'
'x,-y+1/2,z'
'y+1/2,x+1/2,-z'
'-y+1/2,-x+1/2,z'
loop_
_atom_site_label
_atom_site_fract_x
_atom_site_fract_y
_atom_site_fract_z
La1 0.250 0.250 0.231
H1 0.250 0.750 0.000
F1 0.250 0.750 0.500
```

Results
- Mass density: 5.551 Mg/m³
- Crystal system: tetragonal



Result of the stability comparison: run 3 is the most stable of them.



Run 1
Computed, not measured: a relaxed structure of LaHF2 at the PBE level of DFT.

Structure (CIF):
```
data_LaHF2
_chemical_formula_sum 'La3 H3 F6'
_cell_length_a 3.4550
_cell_length_b 3.4550
_cell_length_c 18.2163
_cell_angle_alpha 90.00
_cell_angle_beta 90.00
_cell_angle_gamma 120.00
_symmetry_space_group_name_H-M 'R -3 m'
_symmetry_Int_Tables_number 166
_symmetry_space_group_name_Hall '-R 3 2"'
loop_
_atom_site_label
_atom_site_fract_x
_atom_site_fract_y
_atom_site_fract_z
La1 0.0000 0.0000 0.0000
H1 0.0000 0.0000 0.5000
F1 0.0000 0.0000 0.4370
```

Results
- Mass density: 4.706 Mg/m³
- Crystal system: trigonal



Run 2
Computed, not measured: a relaxed structure of LaHF2 at the PBE level of DFT.

Structure (CIF):
```
data_LaHF2
_chemical_formula_sum 'La4 H4 F8'
_cell_length_a 3.915
_cell_length_b 3.915
_cell_length_c 15.719
_cell_angle_alpha 90.00
_cell_angle_beta 90.00
_cell_angle_gamma 90.00
_symmetry_space_group_name_H-M 'I -4 2 d'
_symmetry_Int_Tables_number 122
_symmetry_space_group_name_Hall 'I -4 2bw'
loop_
_atom_site_label
_atom_site_fract_x
_atom_site_fract_y
_atom_site_fract_z
La1 0.000 0.000 0.000
H1 0.000 0.000 0.500
F1 0.211 0.250 0.125
```

Results
- Mass density: 4.905 Mg/m³
- Crystal system: tetragonal



Run 3
Computed, not measured: a relaxed structure of LaHF2 at the PBE level of DFT.

Structure (CIF):
```
data_LaHF2
_chemical_formula_sum 'La4 H4 F8'
_cell_length_a 5.844
_cell_length_b 5.844
_cell_length_c 5.844
_cell_angle_alpha 90.00
_cell_angle_beta 90.00
_cell_angle_gamma 90.00
_symmetry_space_group_name_H-M 'F m -3 m'
_symmetry_Int_Tables_number 225
_symmetry_space_group_name_Hall '-F 4 2 3'
loop_
_atom_site_label
_atom_site_fract_x
_atom_site_fract_y
_atom_site_fract_z
La1 0.000 0.000 0.000
H1 0.000 0.000 0.500
F1 0.250 0.250 0.250
```

Results
- Mass density: 5.919 Mg/m³
- Crystal system: cubic



Result of the stability comparison: run 3 is the most stable of them.



Run 1
Computed, not measured: a relaxed structure of LaHN2F at the PBE level of DFT.

Structure (CIF):
```
data_LaHN2F
_chemical_formula_sum 'La1 H1 N2 F1'
_cell_length_a 5.034
_cell_length_b 5.034
_cell_length_c 4.697
_cell_angle_alpha 90.00
_cell_angle_beta 90.00
_cell_angle_gamma 90.00
_symmetry_space_group_name_H-M 'P 4/m m m'
_symmetry_Int_Tables_number 123
_symmetry_space_group_name_Hall '-P 4 2'
loop_
_atom_site_label
_atom_site_fract_x
_atom_site_fract_y
_atom_site_fract_z
La1 0.000 0.000 0.000
H1 0.500 0.500 0.500
N1 0.000 0.500 0.000
F1 0.000 0.000 0.500
```

Results
- Mass density: 2.607 Mg/m³
- Crystal system: tetragonal



Run 2
Computed, not measured: a relaxed structure of LaHN2F at the PBE level of DFT.

Structure (CIF):
```
data_LaHN2F
_chemical_formula_sum 'La1 H1 N2 F1'
_cell_length_a 3.435
_cell_length_b 3.435
_cell_length_c 4.332
_cell_angle_alpha 90.00
_cell_angle_beta 90.00
_cell_angle_gamma 90.00
_symmetry_space_group_name_H-M 'P 4/m m m'
_symmetry_Int_Tables_number 123
_symmetry_space_group_name_Hall '-P 4 2'
loop_
_atom_site_label
_atom_site_fract_x
_atom_site_fract_y
_atom_site_fract_z
La1 0.000 0.000 0.000
H1 0.500 0.500 0.500
N1 0.000 0.500 0.500
F1 0.500 0.500 0.000
```

Results
- Mass density: 6.073 Mg/m³
- Crystal system: tetragonal



Result of the stability comparison: run 2 is the most stable of them.



Run 1
Computed, not measured: a relaxed structure of LaHOF2 at the PBE level of DFT.

Structure (CIF):
```
data_LaHOF2
_chemical_formula_sum 'La1 H1 O1 F2'
_cell_length_a 3.647
_cell_length_b 3.647
_cell_length_c 3.821
_cell_angle_alpha 90.00
_cell_angle_beta 90.00
_cell_angle_gamma 90.00
_symmetry_space_group_name_H-M 'P 4/m m m'
_symmetry_Int_Tables_number 123
_symmetry_space_group_name_Hall '-P 4 2'
loop_
_atom_site_label
_atom_site_fract_x
_atom_site_fract_y
_atom_site_fract_z
La1 0.000 0.000 0.000
H1 0.500 0.500 0.500
O1 0.500 0.500 0.000
F1 0.000 0.500 0.500
```

Results
- Mass density: 6.338 Mg/m³
- Crystal system: tetragonal



Run 2
Computed, not measured: a relaxed structure of LaHOF2 at the PBE level of DFT.

Structure (CIF):
```
data_LaHOF2
_chemical_formula_sum 'La1 H1 O1 F2'
_cell_length_a 4.686
_cell_length_b 4.686
_cell_length_c 4.611
_cell_angle_alpha 90.00
_cell_angle_beta 90.00
_cell_angle_gamma 90.00
_symmetry_space_group_name_H-M 'P 4/m m m'
_symmetry_Int_Tables_number 123
_symmetry_space_group_name_Hall '-P 4 2'
loop_
_atom_site_label
_atom_site_fract_x
_atom_site_fract_y
_atom_site_fract_z
La1 0.000 0.000 0.000
H1 0.500 0.500 0.500
O1 0.000 0.000 0.500
F1 0.000 0.500 0.000
```

Results
- Mass density: 3.180 Mg/m³
- Crystal system: tetragonal



Result of the stability comparison: run 1 is the most stable of them.